No. 1
Here is a relaxed Tb2Dy3Y4 crystal from Alexandria. Energies are from PBE.

Computed properties:
E, eV/atom: -5.42
E_form, eV per atom: 0.0198
D(E_F), states/eV per cell: 23.2

The structure in CIF format:
```
data_Tb2Dy3Y4
_chemical_formula_sum 'Tb4 Dy6 Y8'
_cell_length_a 11.808
_cell_length_b 3.557
_cell_length_c 14.680
_cell_angle_alpha 90.00
_cell_angle_beta 111.54
_cell_angle_gamma 90.00
_space_group_name_H-M_alt 'C 1 2/m 1'
_space_group_IT_number 12
loop_
_space_group_symop_operation_xyz
'x,y,z'
'-x,-y,-z'
'-x,y,-z'
'x,-y,z'
'x+1/2,y+1/2,z'
'-x+1/2,-y+1/2,-z'
'-x+1/2,y+1/2,-z'
'x+1/2,-y+1/2,z'
loop_
_atom_site_label
_atom_site_fract_x
_atom_site_fract_y
_atom_site_fract_z
Tb1 0.056 0.000 0.222
Dy1 0.000 0.500 0.000
Dy2 0.112 0.500 0.443
Y1 0.166 0.000 0.665
Y2 0.222 0.500 0.889
```

***

No. 2
Here is a relaxed CrSbHRu2 crystal from Alexandria. Energies are from PBE.

Computed properties:
E, eV/atom: -7.11
D(E_F), states/eV per cell: 4.0

The structure in CIF format:
```
data_CrSbHRu2
_chemical_formula_sum 'Cr1 Sb1 H1 Ru2'
_cell_length_a 4.090
_cell_length_b 4.090
_cell_length_c 3.791
_cell_angle_alpha 90.00
_cell_angle_beta 90.00
_cell_angle_gamma 90.00
_space_group_name_H-M_alt 'P 4/m m m'
_space_group_IT_number 123
_space_group_name_Hall '-P 4 2'
loop_
_atom_site_label
_atom_site_fract_x
_atom_site_fract_y
_atom_site_fract_z
Cr1 0.000 0.000 0.000
Sb1 0.500 0.500 0.000
H1 0.000 0.000 0.500
Ru1 0.000 0.500 0.500
```

***

No. 3
Here is a relaxed PrDyTh2P4 crystal from Alexandria. Energies are from PBE.

Computed properties:
E, eV/atom: -7.30
E_form, eV per atom: -1.5625
D(E_F), states/eV per cell: 4.0

The structure in CIF format:
```
data_PrDyTh2P4
_chemical_formula_sum 'Pr1 Dy1 Th2 P4'
_cell_length_a 7.125
_cell_length_b 4.134
_cell_length_c 7.162
_cell_angle_alpha 90.00
_cell_angle_beta 109.63
_cell_angle_gamma 90.00
_space_group_name_H-M_alt 'P 1 2/m 1'
_space_group_IT_number 10
loop_
_space_group_symop_operation_xyz
'x,y,z'
'-x,-y,-z'
'-x,y,-z'
'x,-y,z'
loop_
_atom_site_label
_atom_site_fract_x
_atom_site_fract_y
_atom_site_fract_z
Pr1 0.000 0.000 0.000
Dy1 0.000 0.500 0.500
Th1 0.500 0.000 0.500
Th2 0.500 0.500 0.000
P1 0.248 0.000 0.744
P2 0.252 0.500 0.256
```

***

The following density values (in g/cm3) correspond, in order, to the records above: 6.72 9.87 7.45.